# Ca2Mg2Al15 (PBE, relaxed)
# Total magnetic moment ... 0.0 μB per cell
# Energy ... -3.422 eV per atom
# DFT formation energy ... -1.68 eV per formula unit
data_Ca2Mg2Al15
_chemical_formula_sum 'Ca2 Mg2 Al15'
_cell_length_a 7.210
_cell_length_b 7.210
_cell_length_c 7.210
_cell_angle_alpha 82.38
_cell_angle_beta 82.38
_cell_angle_gamma 82.38
_symmetry_space_group_name_H-M 'P 1'
_symmetry_Int_Tables_number 1
loop_
_symmetry_equiv_pos_as_xyz
'x,y,z'
loop_
_atom_site_label
_atom_site_type_symbol
_atom_site_fract_x
_atom_site_fract_y
_atom_site_fract_z
_atom_site_occupancy
Ca1 Ca 0.352 0.352 0.352 1
Ca2 Ca 0.648 0.648 0.648 1
Mg1 Mg 0.103 0.103 0.103 1
Mg2 Mg 0.897 0.897 0.897 1
Al1 Al 0.500 0.000 0.000 1
Al2 Al 0.000 0.000 0.500 1
Al3 Al 0.000 0.500 0.000 1
Al4 Al 0.000 0.705 0.295 1
Al5 Al 0.705 0.295 0.000 1
Al6 Al 0.295 0.000 0.705 1
Al7 Al 0.295 0.705 0.000 1
Al8 Al 0.705 0.000 0.295 1
Al9 Al 0.000 0.295 0.705 1
Al10 Al 0.155 0.648 0.648 1
Al11 Al 0.648 0.648 0.155 1
Al12 Al 0.648 0.155 0.648 1
Al13 Al 0.845 0.352 0.352 1
Al14 Al 0.352 0.352 0.845 1
Al15 Al 0.352 0.845 0.352 1


# Sc2PtAu (PBE, relaxed)
# Total magnetic moment ... 0.0 μB per cell
# Energy ... -6.365 eV per atom
# DFT formation energy ... -3.48 eV per formula unit
data_Sc2PtAu
_chemical_formula_sum 'Sc2 Pt1 Au1'
_cell_length_a 5.284
_cell_length_b 5.284
_cell_length_c 5.284
_cell_angle_alpha 134.63
_cell_angle_beta 134.74
_cell_angle_gamma 66.02
_symmetry_space_group_name_H-M 'P 1'
_symmetry_Int_Tables_number 1
loop_
_symmetry_equiv_pos_as_xyz
'x,y,z'
loop_
_atom_site_label
_atom_site_type_symbol
_atom_site_fract_x
_atom_site_fract_y
_atom_site_fract_z
_atom_site_occupancy
Au1 Au 0.500 0.500 0.000 1
Pt1 Pt 0.250 0.750 0.500 1
Sc1 Sc 0.000 0.000 0.000 1
Sc2 Sc 0.750 0.250 0.500 1


# CsKNa3Hg (PBE, relaxed)
# Total magnetic moment ... 0.0 μB per cell
# Energy ... -1.093 eV per atom
# DFT formation energy ... -0.35 eV per formula unit
data_CsKNa3Hg
_chemical_formula_sum 'Cs2 K2 Na6 Hg2'
_cell_length_a 6.760
_cell_length_b 7.185
_cell_length_c 12.673
_cell_angle_alpha 106.47
_cell_angle_beta 90.00
_cell_angle_gamma 90.00
_symmetry_space_group_name_H-M 'P 1'
_symmetry_Int_Tables_number 1
loop_
_symmetry_equiv_pos_as_xyz
'x,y,z'
loop_
_atom_site_label
_atom_site_type_symbol
_atom_site_fract_x
_atom_site_fract_y
_atom_site_fract_z
_atom_site_occupancy
Cs1 Cs 0.750 0.251 0.501 1
Cs2 Cs 0.250 0.749 0.499 1
K1 K 0.250 0.376 0.752 1
K2 K 0.750 0.624 0.248 1
Na1 Na 0.250 0.120 0.240 1
Na2 Na 0.000 0.240 0.000 1
Na3 Na 0.500 0.760 0.000 1
Na4 Na 0.500 0.240 0.000 1
Na5 Na 0.000 0.760 0.000 1
Na6 Na 0.750 0.880 0.760 1
Hg1 Hg 0.250 0.909 0.817 1
Hg2 Hg 0.750 0.091 0.183 1


# Er3FeCo3 (PBE, relaxed)
# Total magnetic moment ... 7.5 μB per cell
# Energy ... -6.444 eV per atom
# DFT formation energy ... -1.64 eV per formula unit
data_Er3FeCo3
_chemical_formula_sum 'Er6 Fe2 Co6'
_cell_length_a 3.910
_cell_length_b 5.415
_cell_length_c 12.680
_cell_angle_alpha 90.00
_cell_angle_beta 90.00
_cell_angle_gamma 111.16
_symmetry_space_group_name_H-M 'P 1'
_symmetry_Int_Tables_number 1
loop_
_symmetry_equiv_pos_as_xyz
'x,y,z'
loop_
_atom_site_label
_atom_site_type_symbol
_atom_site_fract_x
_atom_site_fract_y
_atom_site_fract_z
_atom_site_occupancy
Er1 Er 0.213 0.425 0.896 1
Er2 Er 0.787 0.575 0.104 1
Er3 Er 0.213 0.425 0.604 1
Er4 Er 0.787 0.575 0.396 1
Er5 Er 0.501 0.001 0.750 1
Er6 Er 0.499 0.999 0.250 1
Fe1 Fe 0.500 0.000 0.000 1
Fe2 Fe 0.500 0.000 0.500 1
Co1 Co 0.927 0.854 0.909 1
Co2 Co 0.073 0.146 0.091 1
Co3 Co 0.927 0.854 0.591 1
Co4 Co 0.073 0.146 0.409 1
Co5 Co 0.804 0.607 0.750 1
Co6 Co 0.196 0.393 0.250 1


# RbCoTeN2 (PBE, relaxed)
# Formation energy (no corrections) ... 1.278 eV/atom
# Total magnetic moment ... 4.7 μB per cell
# Energy ... -4.295 eV per atom
# Relative energy among the computed polymorphs ... 0.000 eV/atom
data_RbCoTeN2
_chemical_formula_sum 'Rb1 Co1 Te1 N2'
_cell_length_a 4.322
_cell_length_b 4.322
_cell_length_c 5.141
_cell_angle_alpha 90.00
_cell_angle_beta 90.00
_cell_angle_gamma 90.00
_symmetry_space_group_name_H-M 'P 1'
_symmetry_Int_Tables_number 1
loop_
_symmetry_equiv_pos_as_xyz
'x,y,z'
loop_
_atom_site_label
_atom_site_type_symbol
_atom_site_fract_x
_atom_site_fract_y
_atom_site_fract_z
_atom_site_occupancy
Te1 Te 0.000 0.000 0.500 1
Co1 Co 0.000 0.000 0.000 1
Rb1 Rb 0.500 0.500 0.500 1
N1 N 0.000 0.500 0.000 1
N2 N 0.500 0.000 0.000 1


# RbReSn2 (PBE, relaxed)
# Total magnetic moment ... 1.6 μB per cell
# Energy ... -4.388 eV per atom
# Relative energy among the computed polymorphs ... 0.476 eV/atom
# DFT formation energy ... 3.87 eV per formula unit
data_RbReSn2
_chemical_formula_sum 'Rb1 Re1 Sn2'
_cell_length_a 5.129
_cell_length_b 5.129
_cell_length_c 5.129
_cell_angle_alpha 60.00
_cell_angle_beta 60.00
_cell_angle_gamma 60.00
_symmetry_space_group_name_H-M 'P 1'
_symmetry_Int_Tables_number 1
loop_
_symmetry_equiv_pos_as_xyz
'x,y,z'
loop_
_atom_site_label
_atom_site_type_symbol
_atom_site_fract_x
_atom_site_fract_y
_atom_site_fract_z
_atom_site_occupancy
Re1 Re 0.500 0.500 0.500 1
Sn1 Sn 0.250 0.250 0.250 1
Sn2 Sn 0.750 0.750 0.750 1
Rb1 Rb 0.000 0.000 0.000 1


# CaNdTlI6 (PBE, relaxed)
# Formation energy (no corrections) ... -1.313 eV/atom
# Total magnetic moment ... 0.0 μB per cell
# Energy ... -3.361 eV per atom
data_CaNdTlI6
_chemical_formula_sum 'Ca2 Nd2 Tl2 I12'
_cell_length_a 8.067
_cell_length_b 8.067
_cell_length_c 15.233
_cell_angle_alpha 90.00
_cell_angle_beta 90.00
_cell_angle_gamma 120.00
_symmetry_space_group_name_H-M 'P 1'
_symmetry_Int_Tables_number 1
loop_
_symmetry_equiv_pos_as_xyz
'x,y,z'
loop_
_atom_site_label
_atom_site_type_symbol
_atom_site_fract_x
_atom_site_fract_y
_atom_site_fract_z
_atom_site_occupancy
Ca1 Ca 0.333 0.667 0.250 1
Ca2 Ca 0.667 0.333 0.750 1
Nd1 Nd 0.667 0.333 0.250 1
Nd2 Nd 0.333 0.667 0.750 1
Tl1 Tl 0.000 0.000 0.000 1
Tl2 Tl 0.000 0.000 0.500 1
I1 I 0.636 0.635 0.131 1
I2 I 0.999 0.364 0.131 1
I3 I 0.364 0.999 0.631 1
I4 I 0.001 0.636 0.869 1
I5 I 0.365 0.364 0.369 1
I6 I 0.999 0.635 0.369 1
I7 I 0.635 0.999 0.869 1
I8 I 0.636 0.001 0.369 1
I9 I 0.001 0.365 0.631 1
I10 I 0.365 0.001 0.131 1
I11 I 0.635 0.636 0.631 1
I12 I 0.364 0.365 0.869 1


# PuMgBi2O8 (PBE, relaxed)
# Formation energy (no corrections) ... -1.773 eV/atom
# Total magnetic moment ... 1.2 μB per cell
# Energy ... -7.053 eV per atom
data_PuMgBi2O8
_chemical_formula_sum 'Pu1 Mg1 Bi2 O8'
_cell_length_a 5.068
_cell_length_b 5.067
_cell_length_c 6.878
_cell_angle_alpha 90.00
_cell_angle_beta 90.00
_cell_angle_gamma 91.32
_symmetry_space_group_name_H-M 'P 1'
_symmetry_Int_Tables_number 1
loop_
_symmetry_equiv_pos_as_xyz
'x,y,z'
loop_
_atom_site_label
_atom_site_type_symbol
_atom_site_fract_x
_atom_site_fract_y
_atom_site_fract_z
_atom_site_occupancy
Pu1 Pu 0.000 0.000 0.000 1
Mg1 Mg 0.000 0.000 0.500 1
Bi1 Bi 0.500 0.500 0.739 1
Bi2 Bi 0.500 0.500 0.261 1
O1 O 0.180 0.820 0.226 1
O2 O 0.711 0.712 0.000 1
O3 O 0.820 0.180 0.226 1
O4 O 0.820 0.180 0.774 1
O5 O 0.289 0.288 0.000 1
O6 O 0.180 0.820 0.774 1
O7 O 0.708 0.708 0.500 1
O8 O 0.292 0.292 0.500 1